[1]
VASP calculation (GGA-PBEsol) on an optimized crystal structure of CaZr3Sn.

The space group is Pm-3m (No. 221) and the conventional cell measures 5.348, 5.348 and 5.348 Å, with angles of 90.00, 90.00 and 90.00 degrees. The distinct sites, in fractional coordinates, are Ca at (0.000, 0.000, 0.000), Zr at (0.000, 0.500, 0.500) and Sn at (0.500, 0.500, 0.500).

Its density is 4.694 g cm⁻³. The final energy comes out at -6.070 eV/atom. For the formation energy, the calculation gives 0.663 eV per atom.

[2]
VASP calculation (GGA-PBEsol) on an optimized crystal structure of SrCa.

The space group is F-43m (No. 216) and the conventional cell measures 8.879, 8.879 and 8.879 Å, with angles of 90.00, 90.00 and 90.00 degrees. The distinct sites, in fractional coordinates, are Sr at (0.000, 0.000, 0.000) and Ca at (0.250, 0.250, 0.250).

Its density is 1.212 g cm⁻³. The final energy comes out at -0.915 eV/atom. The value obtained for the energy above the most stable polymorph in this dataset is 1059 meV/atom. For the formation energy, the calculation gives 1.072 eV per atom.

[3]
VASP calculation (GGA-PBEsol) on an optimized crystal structure of Sr2Ca.

The space group is P6_3/mmc (No. 194) and the conventional cell measures 6.5517, 6.5517 and 7.8063 Å, with angles of 90.00, 90.00 and 120.00 degrees. The distinct sites, in fractional coordinates, are Sr at (0.0000, 0.0000, 0.0000), Sr at (0.3333, 0.6667, 0.2500) and Ca at (0.3333, 0.6667, 0.7500).

Its density is 2.464 g cm⁻³. The final energy comes out at -1.877 eV/atom. The value obtained for the energy above the most stable polymorph in this dataset is 49 meV/atom. For the formation energy, the calculation gives 0.061 eV per atom.

[4]
VASP calculation (GGA-PBEsol) on an optimized crystal structure of Sr2Ca.

The space group is Fd-3m (No. 227, origin choice 2) and the conventional cell measures 16.898, 16.898 and 16.898 Å, with angles of 90.00, 90.00 and 90.00 degrees. The distinct sites, in fractional coordinates, are Sr at (0.000, 0.000, 0.000), Sr at (0.069, 0.375, 0.875) and Ca at (0.042, 0.042, 0.208).

Its density is 2.371 g cm⁻³. The final energy comes out at -1.889 eV/atom. The value obtained for the energy above the most stable polymorph in this dataset is 37 meV/atom. For the formation energy, the calculation gives 0.049 eV per atom.

[5]
VASP calculation (GGA-PBEsol) on an optimized crystal structure of SrCa.

The space group is P-3m1 (No. 164) and the conventional cell measures 4.0190, 4.0190 and 13.2243 Å, with angles of 90.00, 90.00 and 120.00 degrees. The distinct sites, in fractional coordinates, are Sr at (0.3333, 0.6667, 0.1321) and Ca at (0.3333, 0.6667, 0.6177).

Its density is 2.293 g cm⁻³. The final energy comes out at -1.963 eV/atom. The value obtained for the energy above the most stable polymorph in this dataset is 12 meV/atom. For the formation energy, the calculation gives 0.024 eV per atom.

[6]
VASP calculation (GGA-PBEsol) on an optimized crystal structure of Sr3Ca.

The space group is C2/m (No. 12) and the conventional cell measures 13.612, 4.111 and 7.099 Å, with angles of 90.00, 100.25 and 90.00 degrees. The distinct sites, in fractional coordinates, are Sr at (0.000, 0.000, 0.000), Sr at (0.247, 0.000, 0.745) and Ca at (0.000, 0.500, 0.500).

Its density is 2.574 g cm⁻³. The final energy comes out at -1.900 eV/atom. For the formation energy, the calculation gives 0.013 eV per atom.